VASP calculation (meta-GGA SCAN) on a crystal of NiTe2WI relaxed with PBEsol.

Cell and atoms, written as CIF:
```
data_NiTe2WI
_chemical_formula_sum 'Ni1 Te2 W1 I1'
_cell_length_a 5.1381
_cell_length_b 5.1381
_cell_length_c 5.5908
_cell_angle_alpha 90.00
_cell_angle_beta 90.00
_cell_angle_gamma 90.00
_space_group_name_H-M_alt 'P 4/m m m'
_space_group_IT_number 123
_space_group_name_Hall '-P 4 2'
loop_
_atom_site_label
_atom_site_type_symbol
_atom_site_fract_x
_atom_site_fract_y
_atom_site_fract_z
Ni1 Ni 0.0000 0.0000 0.0000
Te1 Te 0.0000 0.5000 0.5000
W1 W 0.5000 0.5000 0.5000
I1 I 0.5000 0.5000 0.0000
```

Results
* ΔE_f (raw): 1181 meV/atom

---

VASP calculation (meta-GGA SCAN) on a crystal of In2Ga2Pb relaxed with PBEsol.

Cell and atoms, written as CIF:
```
data_In2Ga2Pb
_chemical_formula_sum 'In4 Ga4 Pb2'
_cell_length_a 3.7978
_cell_length_b 3.7978
_cell_length_c 16.7089
_cell_angle_alpha 90.00
_cell_angle_beta 90.00
_cell_angle_gamma 90.00
_space_group_name_H-M_alt 'I 4/m m m'
_space_group_IT_number 139
_space_group_name_Hall '-I 4 2'
loop_
_atom_site_label
_atom_site_type_symbol
_atom_site_fract_x
_atom_site_fract_y
_atom_site_fract_z
In1 In 0.0000 0.0000 0.1132
Ga1 Ga 0.0000 0.5000 0.2500
Pb1 Pb 0.0000 0.0000 0.5000
```

Results
* ΔH_f (0 K): 0.499 eV per formula unit
* excess energy over the best structure of this formula in the dataset: 0 meV/atom